Record 1
Gd2PuTh: relaxed, PBE.

Cell: 3.493 3.493 10.100 Å, 90.00 90.00 90.00°
Each line ends with the local moment (μB).
Fractional positions:
Gd: 0.000 0.000 0.747  6.99
Gd: 0.000 0.000 0.253  6.99
Th: 0.500 0.500 0.000  -0.07
Pu: 0.500 0.500 0.500  -5.59

- SG: No. 123
- ΔE to the lowest computed polymorph: 0.00 eV/f.u.
- ΔH_f (0 K): 0.1258 eV per atom
- Mass density: 10.650 Mg/m³

***

Record 2
CePm2Bi: relaxed, PBE.

Cell: 4.087 4.087 7.412 Å, 90.00 90.00 90.00°
Each line ends with the local moment (μB).
Fractional positions:
Bi: 0.500 0.500 0.500  -0.01
Ce: 0.500 0.500 0.000  0.51
Pm: 0.000 0.000 0.729  -0.01
Pm: 0.000 0.000 0.271  -0.01

- SG: No. 123
- ΔE to the lowest computed polymorph: 0.21 eV/f.u.
- ΔH_f (0 K): -0.3316 eV per atom
- Mass density: 8.572 Mg/m³

***

Record 3
PaPO4F: relaxed, PBE.

Cell: 5.792 5.792 6.659 Å, 77.36 77.36 75.34°
Each line ends with the local moment (μB).
Fractional positions:
Pa: 0.222 0.222 0.857  1.01
Pa: 0.778 0.778 0.143  1.01
P: 0.651 0.651 0.725  0.00
P: 0.349 0.349 0.275  0.00
O: 0.262 0.262 0.507  -0.01
O: 0.738 0.738 0.493  -0.01
O: 0.130 0.475 0.159  -0.01
O: 0.522 0.522 0.245  -0.01
O: 0.525 0.870 0.841  -0.01
O: 0.475 0.130 0.159  -0.01
O: 0.478 0.478 0.755  -0.01
O: 0.870 0.525 0.841  -0.01
F: 0.019 0.019 0.176  -0.01
F: 0.981 0.981 0.824  -0.01

- SG: No. 12
- Mass density: 5.517 Mg/m³
- Formation energy (no corrections): -2.977 eV per atom

***

Record 4
Ag2Te4AsPb: relaxed, PBE.

Cell: 8.571 8.571 8.634 Å, 120.26 120.26 90.02°
Fractional positions:
Ag: 0.500 0.000 0.000
Ag: 0.500 0.000 0.500
Ag: 0.000 0.000 0.500
Ag: 0.500 0.500 0.000
Te: 0.266 0.771 0.019
Te: 0.729 0.234 0.481
Te: 0.271 0.766 0.519
Te: 0.734 0.229 0.981
Te: 0.741 0.759 0.993
Te: 0.741 0.759 0.507
Te: 0.259 0.241 0.493
Te: 0.259 0.241 0.007
As: 0.500 0.500 0.500
As: 0.000 0.000 0.000
Pb: 0.000 0.500 0.000
Pb: 0.000 0.500 0.500

- SG: No. 74
- Mass density: 7.527 Mg/m³
- Formation energy (no corrections): -0.061 eV per atom

***

Record 5
YNbSe2: relaxed, PBE.

Cell: 8.895 8.895 8.895 Å, 24.80 24.80 24.80°
Each line ends with the local moment (μB).
Fractional positions:
Y: 0.500 0.500 0.500  0.08
Nb: 0.000 0.000 0.000  1.46
Se: 0.901 0.901 0.901  -0.02
Se: 0.099 0.099 0.099  -0.02

- SG: No. 166
- ΔE to the lowest computed polymorph: 1.87 eV/f.u.
- Mass density: 5.181 Mg/m³
- Formation energy (no corrections): -0.503 eV per atom

***

Record 6
Pm2Y2ErMg5: relaxed, PBE.

Cell: 5.060 10.643 10.643 Å, 90.00 90.00 90.00°
Fractional positions:
Pm: 0.000 0.677 0.177
Pm: 0.000 0.323 0.823
Pm: 0.000 0.177 0.323
Pm: 0.000 0.823 0.677
Y: 0.000 0.121 0.621
Y: 0.000 0.879 0.379
Y: 0.000 0.621 0.879
Y: 0.000 0.379 0.121
Er: 0.000 0.000 0.000
Er: 0.000 0.500 0.500
Mg: 0.500 0.196 0.069
Mg: 0.500 0.804 0.931
Mg: 0.500 0.069 0.804
Mg: 0.500 0.696 0.431
Mg: 0.500 0.931 0.196
Mg: 0.500 0.304 0.569
Mg: 0.500 0.569 0.696
Mg: 0.500 0.431 0.304
Mg: 0.500 0.500 0.000
Mg: 0.500 0.000 0.500

- SG: No. 127
- ΔH_f (0 K): 0.0445 eV per atom
- Mass density: 4.384 Mg/m³

***

Record 7
K2FeNiC6N6: relaxed, PBE.

Cell: 7.211 7.211 7.211 Å, 60.00 60.00 60.00°
Each line ends with the local moment (μB).
Fractional positions:
K: 0.750 0.750 0.750  0.00
K: 0.250 0.250 0.250  0.00
Fe: 0.000 0.000 0.000  -0.06
Ni: 0.500 0.500 0.500  -1.63
C: 0.816 0.816 0.184  0.00
C: 0.184 0.184 0.816  0.00
C: 0.184 0.816 0.816  0.00
C: 0.816 0.184 0.816  0.00
C: 0.816 0.184 0.184  0.00
C: 0.184 0.816 0.184  0.00
N: 0.700 0.300 0.700  -0.07
N: 0.300 0.700 0.700  -0.07
N: 0.300 0.300 0.700  -0.07
N: 0.700 0.700 0.300  -0.07
N: 0.700 0.300 0.300  -0.07
N: 0.300 0.700 0.300  -0.07

- SG: No. 225
- Mass density: 2.185 Mg/m³
- Formation energy (no corrections): -0.022 eV per atom

***

Record 8
Nd5Sm3: relaxed, PBE.

Cell: 7.389 8.717 8.717 Å, 94.33 90.00 90.00°
Fractional positions:
Nd: 0.000 0.959 0.041
Nd: 0.000 0.043 0.460
Nd: 0.750 0.291 0.208
Nd: 0.250 0.291 0.208
Nd: 0.000 0.540 0.957
Nd: 0.500 0.458 0.542
Nd: 0.749 0.709 0.291
Nd: 0.251 0.709 0.291
Nd: 0.750 0.792 0.709
Nd: 0.250 0.792 0.709
Sm: 0.500 0.959 0.041
Sm: 0.500 0.042 0.459
Sm: 0.749 0.208 0.792
Sm: 0.251 0.208 0.792
Sm: 0.500 0.541 0.958
Sm: 0.000 0.458 0.542

- SG: No. 38
- ΔE to the lowest computed polymorph: 0.13 eV/f.u.
- ΔH_f (0 K): 0.0309 eV per atom
- Mass density: 6.955 Mg/m³

***

Which value of mass density does entry 6 give? 4.384 Mg/m³

***

Number 6 is which compound? Pm2Y2ErMg5